Computed, not measured: a relaxed SmZrNiOs crystal at the PBE level of DFT.

Output
Raw total energy: -31.19 eV per formula unit
Total magnetization: 0.00 μB per formula unit
Formation energy from the elements: -88 kJ/mol of formula units
DOS at the Fermi energy: 0.768 states/eV per atom

Lattice parameters (Å, degrees): 4.756 4.756 4.756 60.00 60.00 60.00
Fractional positions:
Zr  0.000  0.000  0.000
Ni  0.250  0.250  0.250
Os  0.750  0.750  0.750
Sm  0.500  0.500  0.500

***

Computed, not measured: a relaxed NiSnOs3 crystal at the PBE level of DFT.

Output
Raw total energy: -28.40 eV per formula unit
Total magnetization: 0.45 μB per formula unit
Formation energy from the elements: 1454 kJ/mol of formula units
DOS at the Fermi energy: 2.309 states/eV per atom

Lattice parameters (Å, degrees): 4.802 4.802 4.802 90.00 90.00 90.00
Fractional positions:
Os  0.000  0.000  0.500
Os  0.500  0.000  0.000
Os  0.000  0.500  0.000
Ni  0.500  0.500  0.500
Sn  0.000  0.000  0.000